A relaxed SrGa8Au2 crystal. Source: Alexandria via LeMat-Bulk, functional PBE.

## Properties
The formation energy from the elements is -42 meV/atom. As for the space group: No. 123.

Unit cell a=5.435 b=5.435 c=9.390 alpha=90.00 beta=90.00 gamma=90.00
Atoms (fractional coordinates):
1 Sr 0.000 0.000 0.000
2 Ga 0.253 0.253 0.287
3 Ga 0.253 0.253 0.713
4 Ga 0.253 0.747 0.287
5 Ga 0.253 0.747 0.713
6 Ga 0.747 0.253 0.287
7 Ga 0.747 0.253 0.713
8 Ga 0.747 0.747 0.287
9 Ga 0.747 0.747 0.713
10 Au 0.000 0.500 0.500
11 Au 0.500 0.000 0.500



A relaxed LiCd6In12 crystal. Source: Alexandria via LeMat-Bulk, functional PBE.

## Properties
The formation energy from the elements is 4 meV/atom. As for the space group: No. 148.

Unit cell a=8.340 b=8.340 c=8.340 alpha=106.39 beta=106.39 gamma=106.39
Atoms (fractional coordinates):
1 Li 0.000 0.000 0.000
2 Cd 0.140 0.270 0.403
3 Cd 0.270 0.403 0.140
4 Cd 0.403 0.140 0.270
5 Cd 0.597 0.860 0.730
6 Cd 0.730 0.597 0.860
7 Cd 0.860 0.730 0.597
8 In 0.078 0.145 0.709
9 In 0.145 0.709 0.078
10 In 0.164 0.647 0.449
11 In 0.291 0.922 0.855
12 In 0.353 0.551 0.836
13 In 0.449 0.164 0.647
14 In 0.551 0.836 0.353
15 In 0.647 0.449 0.164
16 In 0.709 0.078 0.145
17 In 0.836 0.353 0.551
18 In 0.855 0.291 0.922
19 In 0.922 0.855 0.291



A relaxed As2BrF crystal. Source: Alexandria via LeMat-Bulk, functional PBE.

## Properties
Its uncorrected formation energy is -0.289 eV/atom. As for the space group: No. 122.

Unit cell a=4.280 b=4.280 c=17.671 alpha=90.00 beta=90.00 gamma=90.00
Atoms (fractional coordinates):
1 As 0.180 0.250 0.125
2 As 0.250 0.680 0.375
3 As 0.250 0.820 0.875
4 As 0.320 0.250 0.625
5 As 0.680 0.750 0.625
6 As 0.750 0.180 0.875
7 As 0.750 0.320 0.375
8 As 0.820 0.750 0.125
9 Br 0.000 0.000 0.500
10 Br 0.000 0.500 0.750
11 Br 0.500 0.000 0.250
12 Br 0.500 0.500 0.000
13 F 0.000 0.000 0.000
14 F 0.000 0.500 0.250
15 F 0.500 0.000 0.750
16 F 0.500 0.500 0.500



A relaxed GaCoRu crystal. Source: Alexandria via LeMat-Bulk, functional PBE.

## Properties
The formation energy from the elements is -91 meV/atom. As for the space group: No. 107.

Unit cell a=2.907 b=2.907 c=9.229 alpha=90.00 beta=90.00 gamma=90.00
Atoms (fractional coordinates):
1 Ga 0.000 0.000 0.000
2 Ga 0.500 0.500 0.500
3 Co 0.000 0.000 0.344
4 Co 0.500 0.500 0.844
5 Ru 0.000 0.000 0.676
6 Ru 0.500 0.500 0.176



A relaxed LiRh2 crystal. Source: Alexandria via LeMat-Bulk, functional PBE.

## Properties
The formation energy from the elements is -5 meV/atom. As for the space group: No. 139.

Unit cell a=2.700 b=2.700 c=11.486 alpha=90.00 beta=90.00 gamma=90.00
Atoms (fractional coordinates):
1 Li 0.000 0.000 0.000
2 Li 0.500 0.500 0.500
3 Rh 0.000 0.000 0.330
4 Rh 0.000 0.000 0.670
5 Rh 0.500 0.500 0.170
6 Rh 0.500 0.500 0.830



A relaxed PmNp2US4 crystal. Source: Alexandria via LeMat-Bulk, functional PBE.

## Properties
Its uncorrected formation energy is -1.516 eV/atom. As for the space group: No. 10.

Unit cell a=6.803 b=3.902 c=6.808 alpha=90.00 beta=109.22 gamma=90.00
Atoms (fractional coordinates):
1 Pm 0.000 0.000 0.000
2 Np 0.500 0.000 0.500
3 Np 0.500 0.500 0.000
4 U 0.000 0.500 0.500
5 S 0.253 0.000 0.747
6 S 0.257 0.500 0.257
7 S 0.743 0.500 0.743
8 S 0.747 0.000 0.253



A relaxed La2TlCd crystal. Source: Alexandria via LeMat-Bulk, functional PBE.

## Properties
The formation energy from the elements is -190 meV/atom. As for the space group: No. 25.

Unit cell a=3.807 b=4.890 c=6.827 alpha=90.00 beta=90.00 gamma=90.00
Atoms (fractional coordinates):
1 La 0.000 0.000 0.000
2 La 0.500 0.500 0.309
3 Tl 0.000 0.000 0.518
4 Cd 0.500 0.500 0.798



A relaxed CdTc3Bi crystal. Source: Alexandria via LeMat-Bulk, functional PBE.

## Properties
The formation energy from the elements is 2125 meV/atom. As for the space group: No. 221.

Unit cell a=5.046 b=5.046 c=5.046 alpha=90.00 beta=90.00 gamma=90.00
Atoms (fractional coordinates):
1 Cd 0.000 0.000 0.000
2 Tc 0.000 0.500 0.500
3 Tc 0.500 0.000 0.500
4 Tc 0.500 0.500 0.000
5 Bi 0.500 0.500 0.500



For each record above, in turn, the calculated magnetic moment values are 0.00, 0.00, 0.00, 2.20, 0.00, 6.15, 0.00, 6.00 μB per formula unit.
For each record above, in turn, the calculated uncorrected energy values are -2.992, -2.115, -3.500, -6.560, -5.544, -8.820, -3.474, -5.054 eV per atom.
For each record above, in turn, the calculated DOS(E_F) values are 0.5278, 0.4229, 0.0000, 0.7105, 1.2135, 2.6780, 1.0787, 1.0344 states/eV/atom.